{
  "formula": "ZnW3",
  "functional": "meta-GGA SCAN",
  "state": "PBEsol geometry",
  "ef_ev_per_atom": 0.38,
  "polymorph_energy_kj_per_mol_atoms": 0.0,
  "lattice": [[3.830, 0.000, 0.000], [0.000, 3.830, 0.000], [-1.915, -1.915, 4.136]],
  "species": ["W", "W", "W", "Zn"],
  "frac_coords": [[0.250, 0.750, 0.500], [0.750, 0.250, 0.500], [0.500, 0.500, 0.000], [0.000, 0.000, 0.000]]
}